(1)
# Ba2AlPtBr (PBE-GGA, optimized geometry)
data_Ba2AlPtBr
_chemical_formula_sum 'Ba2 Al1 Pt1 Br1'
_symmetry_space_group_name_H-M 'P 1'
_symmetry_Int_Tables_number 1
_cell_length_a 6.279
_cell_length_b 6.279
_cell_length_c 4.745
_cell_angle_alpha 90.00
_cell_angle_beta 90.00
_cell_angle_gamma 90.00
loop_
_symmetry_equiv_pos_as_xyz
'x,y,z'
loop_
_atom_site_label
_atom_site_type_symbol
_atom_site_fract_x
_atom_site_fract_y
_atom_site_fract_z
Ba1 Ba 0.000 0.500 0.000
Ba2 Ba 0.500 0.000 0.000
Al1 Al 0.000 0.000 0.500
Pt1 Pt 0.000 0.000 0.000
Br1 Br 0.500 0.500 0.500
# - Raw formation energy: -0.9691 eV per atom
# - Total DFT energy (no corrections): -4.029 eV per atom
# - DOS(E_F): 1.83 states/eV/cell

=====

(2)
# Rb2BaAlBr6 (PBE-GGA, optimized geometry)
data_Rb2BaAlBr6
_chemical_formula_sum 'Rb2 Ba1 Al1 Br6'
_symmetry_space_group_name_H-M 'P 1'
_symmetry_Int_Tables_number 1
_cell_length_a 8.306
_cell_length_b 8.306
_cell_length_c 8.306
_cell_angle_alpha 60.00
_cell_angle_beta 60.00
_cell_angle_gamma 60.00
loop_
_symmetry_equiv_pos_as_xyz
'x,y,z'
loop_
_atom_site_label
_atom_site_type_symbol
_atom_site_fract_x
_atom_site_fract_y
_atom_site_fract_z
Rb1 Rb 0.250 0.250 0.250
Rb2 Rb 0.750 0.750 0.750
Ba1 Ba 0.000 0.000 0.000
Al1 Al 0.500 0.500 0.500
Br1 Br 0.269 0.269 0.731
Br2 Br 0.269 0.731 0.269
Br3 Br 0.269 0.731 0.731
Br4 Br 0.731 0.269 0.269
Br5 Br 0.731 0.269 0.731
Br6 Br 0.731 0.731 0.269
# - Raw formation energy: -1.4713 eV per atom
# - Total DFT energy (no corrections): -3.235 eV per atom
# - DOS(E_F): 0.96 states/eV/cell

=====

(3)
# Rb2BaAlBr8 (PBE-GGA, optimized geometry)
data_Rb2BaAlBr8
_chemical_formula_sum 'Rb2 Ba1 Al1 Br8'
_symmetry_space_group_name_H-M 'P 1'
_symmetry_Int_Tables_number 1
_cell_length_a 7.586
_cell_length_b 7.586
_cell_length_c 8.566
_cell_angle_alpha 90.00
_cell_angle_beta 90.00
_cell_angle_gamma 120.00
loop_
_symmetry_equiv_pos_as_xyz
'x,y,z'
loop_
_atom_site_label
_atom_site_type_symbol
_atom_site_fract_x
_atom_site_fract_y
_atom_site_fract_z
Rb1 Rb 0.333 0.667 0.378
Rb2 Rb 0.667 0.333 0.622
Ba1 Ba 0.000 0.000 0.000
Al1 Al 0.000 0.000 0.500
Br1 Br 0.154 0.309 0.678
Br2 Br 0.154 0.846 0.678
Br3 Br 0.309 0.154 0.322
Br4 Br 0.333 0.667 0.997
Br5 Br 0.667 0.333 0.003
Br6 Br 0.691 0.846 0.678
Br7 Br 0.846 0.154 0.322
Br8 Br 0.846 0.691 0.322
# - Raw formation energy: -1.3694 eV per atom
# - Total DFT energy (no corrections): -3.118 eV per atom
# - DOS(E_F): 14.84 states/eV/cell

=====

(4)
# BaAlSBr2 (PBE-GGA, optimized geometry)
data_BaAlSBr2
_chemical_formula_sum 'Ba1 Al1 S1 Br2'
_symmetry_space_group_name_H-M 'P 1'
_symmetry_Int_Tables_number 1
_cell_length_a 6.624
_cell_length_b 6.624
_cell_length_c 4.294
_cell_angle_alpha 90.00
_cell_angle_beta 90.00
_cell_angle_gamma 90.00
loop_
_symmetry_equiv_pos_as_xyz
'x,y,z'
loop_
_atom_site_label
_atom_site_type_symbol
_atom_site_fract_x
_atom_site_fract_y
_atom_site_fract_z
Ba1 Ba 0.000 0.000 0.000
Al1 Al 0.500 0.500 0.000
S1 S 0.500 0.500 0.500
Br1 Br 0.000 0.500 0.500
Br2 Br 0.500 0.000 0.500
# - Raw formation energy: -0.6127 eV per atom
# - Total DFT energy (no corrections): -3.240 eV per atom
# - DOS(E_F): 1.07 states/eV/cell

=====

(5)
# BaAlSe2Br (PBE-GGA, optimized geometry)
data_BaAlSe2Br
_chemical_formula_sum 'Ba1 Al1 Se2 Br1'
_symmetry_space_group_name_H-M 'P 1'
_symmetry_Int_Tables_number 1
_cell_length_a 5.083
_cell_length_b 5.083
_cell_length_c 5.258
_cell_angle_alpha 90.00
_cell_angle_beta 90.00
_cell_angle_gamma 90.00
loop_
_symmetry_equiv_pos_as_xyz
'x,y,z'
loop_
_atom_site_label
_atom_site_type_symbol
_atom_site_fract_x
_atom_site_fract_y
_atom_site_fract_z
Ba1 Ba 0.000 0.000 0.000
Al1 Al 0.500 0.500 0.500
Se1 Se 0.000 0.500 0.500
Se2 Se 0.500 0.000 0.500
Br1 Br 0.500 0.500 0.000
# - Raw formation energy: -1.2456 eV per atom
# - Total DFT energy (no corrections): -4.107 eV per atom
# - Energy above the most stable polymorph in this dataset: 0 meV per atom
# - DOS(E_F): 2.06 states/eV/cell

=====

(6)
# BaAlSe2Br (PBE-GGA, optimized geometry)
data_BaAlSe2Br
_chemical_formula_sum 'Ba1 Al1 Se2 Br1'
_symmetry_space_group_name_H-M 'P 1'
_symmetry_Int_Tables_number 1
_cell_length_a 6.262
_cell_length_b 6.262
_cell_length_c 6.242
_cell_angle_alpha 90.00
_cell_angle_beta 90.00
_cell_angle_gamma 90.00
loop_
_symmetry_equiv_pos_as_xyz
'x,y,z'
loop_
_atom_site_label
_atom_site_type_symbol
_atom_site_fract_x
_atom_site_fract_y
_atom_site_fract_z
Ba1 Ba 0.000 0.000 0.000
Al1 Al 0.500 0.500 0.500
Se1 Se 0.000 0.500 0.000
Se2 Se 0.500 0.000 0.000
Br1 Br 0.000 0.000 0.500
# - Raw formation energy: -0.1273 eV per atom
# - Total DFT energy (no corrections): -2.989 eV per atom
# - Energy above the most stable polymorph in this dataset: 1118 meV per atom
# - DOS(E_F): 7.67 states/eV/cell

=====

(7)
# BaAl2VBr (PBE-GGA, optimized geometry)
data_BaAl2VBr
_chemical_formula_sum 'Ba1 Al2 V1 Br1'
_symmetry_space_group_name_H-M 'P 1'
_symmetry_Int_Tables_number 1
_cell_length_a 5.359
_cell_length_b 5.359
_cell_length_c 5.920
_cell_angle_alpha 90.00
_cell_angle_beta 90.00
_cell_angle_gamma 90.00
loop_
_symmetry_equiv_pos_as_xyz
'x,y,z'
loop_
_atom_site_label
_atom_site_type_symbol
_atom_site_fract_x
_atom_site_fract_y
_atom_site_fract_z
Ba1 Ba 0.000 0.000 0.000
Al1 Al 0.000 0.500 0.500
Al2 Al 0.500 0.000 0.500
V1 V 0.500 0.500 0.000
Br1 Br 0.000 0.000 0.500
# - Raw formation energy: 0.7776 eV per atom
# - Total DFT energy (no corrections): -3.262 eV per atom
# - DOS(E_F): 5.25 states/eV/cell

=====

(8)
# BaAlC (PBE-GGA, optimized geometry)
data_BaAlC
_chemical_formula_sum 'Ba4 Al4 C4'
_symmetry_space_group_name_H-M 'P 1'
_symmetry_Int_Tables_number 1
_cell_length_a 6.115
_cell_length_b 9.676
_cell_length_c 5.791
_cell_angle_alpha 90.00
_cell_angle_beta 90.00
_cell_angle_gamma 90.00
loop_
_symmetry_equiv_pos_as_xyz
'x,y,z'
loop_
_atom_site_label
_atom_site_type_symbol
_atom_site_fract_x
_atom_site_fract_y
_atom_site_fract_z
Ba1 Ba 0.022 0.206 0.000
Ba2 Ba 0.478 0.206 0.500
Ba3 Ba 0.522 0.794 0.000
Ba4 Ba 0.978 0.794 0.500
Al1 Al 0.122 0.474 0.381
Al2 Al 0.378 0.474 0.881
Al3 Al 0.622 0.526 0.381
Al4 Al 0.878 0.526 0.881
C1 C 0.110 0.426 0.710
C2 C 0.390 0.426 0.210
C3 C 0.610 0.574 0.710
C4 C 0.890 0.574 0.210
# - Total DFT energy (no corrections): -4.798 eV per atom
# - DOS(E_F): 5.92 states/eV/cell
# - ΔH_f (0 K): 165.1 meV per atom

=====

(9)
# BaAl2GeC (PBE-GGA, optimized geometry)
data_BaAl2GeC
_chemical_formula_sum 'Ba1 Al2 Ge1 C1'
_symmetry_space_group_name_H-M 'P 1'
_symmetry_Int_Tables_number 1
_cell_length_a 4.801
_cell_length_b 4.801
_cell_length_c 6.702
_cell_angle_alpha 90.00
_cell_angle_beta 90.00
_cell_angle_gamma 90.00
loop_
_symmetry_equiv_pos_as_xyz
'x,y,z'
loop_
_atom_site_label
_atom_site_type_symbol
_atom_site_fract_x
_atom_site_fract_y
_atom_site_fract_z
Ba1 Ba 0.000 0.000 0.000
Al1 Al 0.000 0.500 0.500
Al2 Al 0.500 0.000 0.500
Ge1 Ge 0.000 0.000 0.500
C1 C 0.500 0.500 0.000
# - Total DFT energy (no corrections): -3.383 eV per atom
# - DOS(E_F): 4.15 states/eV/cell
# - ΔH_f (0 K): 1267.0 meV per atom

=====

(10)
# BaAl2H10C2O13 (PBE-GGA, optimized geometry)
data_BaAl2H10C2O13
_chemical_formula_sum 'Ba2 Al4 H20 C4 O26'
_symmetry_space_group_name_H-M 'P 1'
_symmetry_Int_Tables_number 1
_cell_length_a 5.707
_cell_length_b 9.776
_cell_length_c 10.597
_cell_angle_alpha 115.69
_cell_angle_beta 95.39
_cell_angle_gamma 92.50
loop_
_symmetry_equiv_pos_as_xyz
'x,y,z'
loop_
_atom_site_label
_atom_site_type_symbol
_atom_site_fract_x
_atom_site_fract_y
_atom_site_fract_z
Ba1 Ba 0.212 0.135 0.182
Ba2 Ba 0.788 0.865 0.818
Al1 Al 0.000 0.000 0.500
Al2 Al 0.000 0.500 0.500
Al3 Al 0.500 0.000 0.500
Al4 Al 0.500 0.500 0.500
H1 H 0.068 0.218 0.919
H2 H 0.091 0.529 0.220
H3 H 0.148 0.744 0.989
H4 H 0.203 0.782 0.315
H5 H 0.241 0.286 0.505
H6 H 0.249 0.417 0.906
H7 H 0.253 0.706 0.469
H8 H 0.294 0.207 0.668
H9 H 0.335 0.561 0.182
H10 H 0.434 0.329 0.953
H11 H 0.566 0.671 0.047
H12 H 0.665 0.439 0.818
H13 H 0.706 0.793 0.332
H14 H 0.747 0.294 0.531
H15 H 0.751 0.583 0.094
H16 H 0.759 0.714 0.495
H17 H 0.797 0.218 0.685
H18 H 0.852 0.256 0.011
H19 H 0.909 0.471 0.780
H20 H 0.932 0.782 0.081
C1 C 0.284 0.956 0.722
C2 C 0.308 0.595 0.772
C3 C 0.692 0.405 0.228
C4 C 0.716 0.044 0.278
O1 O 0.037 0.824 0.035
O2 O 0.075 0.964 0.665
O3 O 0.093 0.570 0.707
O4 O 0.174 0.591 0.181
O5 O 0.225 0.866 0.412
O6 O 0.233 0.358 0.461
O7 O 0.256 0.620 0.494
O8 O 0.271 0.149 0.564
O9 O 0.304 0.934 0.833
O10 O 0.309 0.316 0.876
O11 O 0.340 0.634 0.905
O12 O 0.476 0.969 0.667
O13 O 0.492 0.578 0.704
O14 O 0.508 0.422 0.296
O15 O 0.524 0.031 0.333
O16 O 0.660 0.366 0.095
O17 O 0.691 0.684 0.124
O18 O 0.696 0.066 0.167
O19 O 0.729 0.851 0.436
O20 O 0.744 0.380 0.506
O21 O 0.767 0.642 0.539
O22 O 0.775 0.134 0.588
O23 O 0.826 0.409 0.819
O24 O 0.907 0.430 0.293
O25 O 0.925 0.036 0.335
O26 O 0.963 0.176 0.965
# - Total DFT energy (no corrections): -6.150 eV per atom
# - Energy above the most stable polymorph in this dataset: 0 meV per atom
# - DOS(E_F): 0.00 states/eV/cell

=====

(11)
# BaAl2H10C2O13 (PBE-GGA, optimized geometry)
data_BaAl2H10C2O13
_chemical_formula_sum 'Ba2 Al4 H20 C4 O26'
_symmetry_space_group_name_H-M 'P 1'
_symmetry_Int_Tables_number 1
_cell_length_a 5.481
_cell_length_b 11.126
_cell_length_c 12.019
_cell_angle_alpha 72.94
_cell_angle_beta 88.87
_cell_angle_gamma 79.13
loop_
_symmetry_equiv_pos_as_xyz
'x,y,z'
loop_
_atom_site_label
_atom_site_type_symbol
_atom_site_fract_x
_atom_site_fract_y
_atom_site_fract_z
Ba1 Ba 0.175 0.180 0.221
Ba2 Ba 0.825 0.820 0.779
Al1 Al 0.000 0.000 0.000
Al2 Al 0.000 0.000 0.500
Al3 Al 0.500 0.000 0.000
Al4 Al 0.500 0.000 0.500
H1 H 0.003 0.517 0.385
H2 H 0.087 0.455 0.385
H3 H 0.135 0.729 0.321
H4 H 0.215 0.085 0.640
H5 H 0.228 0.069 0.911
H6 H 0.246 0.265 0.548
H7 H 0.248 0.582 0.613
H8 H 0.286 0.869 0.171
H9 H 0.317 0.640 0.266
H10 H 0.363 0.267 0.663
H11 H 0.637 0.733 0.337
H12 H 0.683 0.360 0.734
H13 H 0.714 0.131 0.829
H14 H 0.752 0.418 0.387
H15 H 0.754 0.735 0.452
H16 H 0.772 0.931 0.089
H17 H 0.785 0.915 0.360
H18 H 0.865 0.271 0.679
H19 H 0.913 0.545 0.615
H20 H 0.997 0.483 0.615
C1 C 0.326 0.807 0.925
C2 C 0.350 0.743 0.583
C3 C 0.650 0.257 0.417
C4 C 0.674 0.193 0.075
O1 O 0.034 0.502 0.861
O2 O 0.103 0.845 0.958
O3 O 0.122 0.796 0.574
O4 O 0.202 0.269 0.626
O5 O 0.237 0.441 0.907
O6 O 0.240 0.013 0.607
O7 O 0.253 0.002 0.403
O8 O 0.262 0.955 0.115
O9 O 0.300 0.719 0.286
O10 O 0.356 0.736 0.858
O11 O 0.406 0.612 0.612
O12 O 0.462 0.204 0.431
O13 O 0.483 0.154 0.042
O14 O 0.517 0.846 0.958
O15 O 0.538 0.796 0.569
O16 O 0.594 0.388 0.388
O17 O 0.644 0.264 0.142
O18 O 0.700 0.281 0.714
O19 O 0.738 0.045 0.885
O20 O 0.747 0.998 0.597
O21 O 0.760 0.987 0.393
O22 O 0.763 0.559 0.093
O23 O 0.798 0.731 0.374
O24 O 0.878 0.204 0.426
O25 O 0.897 0.155 0.042
O26 O 0.966 0.498 0.139
# - Total DFT energy (no corrections): -5.836 eV per atom
# - Energy above the most stable polymorph in this dataset: 314 meV per atom
# - DOS(E_F): 4.99 states/eV/cell

=====

(12)
# BaAlIn2C (PBE-GGA, optimized geometry)
data_BaAlIn2C
_chemical_formula_sum 'Ba1 Al1 In2 C1'
_symmetry_space_group_name_H-M 'P 1'
_symmetry_Int_Tables_number 1
_cell_length_a 4.825
_cell_length_b 4.825
_cell_length_c 5.565
_cell_angle_alpha 90.00
_cell_angle_beta 90.00
_cell_angle_gamma 90.00
loop_
_symmetry_equiv_pos_as_xyz
'x,y,z'
loop_
_atom_site_label
_atom_site_type_symbol
_atom_site_fract_x
_atom_site_fract_y
_atom_site_fract_z
Ba1 Ba 0.000 0.000 0.000
Al1 Al 0.500 0.500 0.000
In1 In 0.000 0.500 0.500
In2 In 0.500 0.000 0.500
C1 C 0.000 0.000 0.500
# - Total DFT energy (no corrections): -3.427 eV per atom
# - DOS(E_F): 3.57 states/eV/cell
# - ΔH_f (0 K): 646.2 meV per atom

=====

Copy entry 7 word for word.
# BaAl2VBr (PBE-GGA, optimized geometry)
data_BaAl2VBr
_chemical_formula_sum 'Ba1 Al2 V1 Br1'
_symmetry_space_group_name_H-M 'P 1'
_symmetry_Int_Tables_number 1
_cell_length_a 5.359
_cell_length_b 5.359
_cell_length_c 5.920
_cell_angle_alpha 90.00
_cell_angle_beta 90.00
_cell_angle_gamma 90.00
loop_
_symmetry_equiv_pos_as_xyz
'x,y,z'
loop_
_atom_site_label
_atom_site_type_symbol
_atom_site_fract_x
_atom_site_fract_y
_atom_site_fract_z
Ba1 Ba 0.000 0.000 0.000
Al1 Al 0.000 0.500 0.500
Al2 Al 0.500 0.000 0.500
V1 V 0.500 0.500 0.000
Br1 Br 0.000 0.000 0.500
# - Raw formation energy: 0.7776 eV per atom
# - Total DFT energy (no corrections): -3.262 eV per atom
# - DOS(E_F): 5.25 states/eV/cell

=====

Which formula does entry 12 have? BaAlIn2C